[1]
A plane-wave DFT calculation with PBE-GGA was carried out for crystalline ZrAlRu at its relaxed geometry.

Geometry as CIF:
```
data_ZrAlRu
_chemical_formula_sum 'Zr6 Al6 Ru6'
_cell_length_a 4.3372
_cell_length_b 4.3372
_cell_length_c 19.9484
_cell_angle_alpha 90.00
_cell_angle_beta 90.00
_cell_angle_gamma 120.00
_symmetry_space_group_name_H-M 'R 3 m'
_symmetry_Int_Tables_number 160
_symmetry_space_group_name_Hall 'R 3 -2"'
loop_
_atom_site_label
_atom_site_type_symbol
_atom_site_fract_x
_atom_site_fract_y
_atom_site_fract_z
Zr1 Zr 0.0000 0.0000 0.0000
Zr2 Zr 0.0000 0.0000 0.4446
Al1 Al 0.0000 0.0000 0.2477
Al2 Al 0.0000 0.0000 0.8540
Ru1 Ru 0.0000 0.0000 0.5796
Ru2 Ru 0.0000 0.0000 0.7220
```



[2]
A plane-wave DFT calculation with PBE-GGA was carried out for crystalline Zr2AlRu at its relaxed geometry.

Geometry as CIF:
```
data_Zr2AlRu
_chemical_formula_sum 'Zr4 Al2 Ru2'
_cell_length_a 3.8968
_cell_length_b 4.6870
_cell_length_c 8.1781
_cell_angle_alpha 90.00
_cell_angle_beta 90.00
_cell_angle_gamma 90.00
_symmetry_space_group_name_H-M 'I m m m'
_symmetry_Int_Tables_number 71
_symmetry_space_group_name_Hall '-I 2 2'
loop_
_atom_site_label
_atom_site_type_symbol
_atom_site_fract_x
_atom_site_fract_y
_atom_site_fract_z
Zr1 Zr 0.0000 0.0000 0.2253
Al1 Al 0.0000 0.5000 0.0000
Ru1 Ru 0.0000 0.5000 0.5000
```



[3]
A plane-wave DFT calculation with PBE-GGA was carried out for crystalline Zr2AlRu at its relaxed geometry.

Geometry as CIF:
```
data_Zr2AlRu
_chemical_formula_sum 'Zr4 Al2 Ru2'
_cell_length_a 3.9758
_cell_length_b 3.9758
_cell_length_c 9.3500
_cell_angle_alpha 90.00
_cell_angle_beta 90.00
_cell_angle_gamma 90.00
_symmetry_space_group_name_H-M 'I -4 m 2'
_symmetry_Int_Tables_number 119
_symmetry_space_group_name_Hall 'I -4 -2'
loop_
_atom_site_label
_atom_site_type_symbol
_atom_site_fract_x
_atom_site_fract_y
_atom_site_fract_z
Zr1 Zr 0.0000 0.0000 0.0000
Zr2 Zr 0.0000 0.5000 0.2500
Al1 Al 0.0000 0.5000 0.7500
Ru1 Ru 0.0000 0.0000 0.5000
```



| no. | formation enthalpy at 0 K (eV/atom) | electronic total energy (eV/atom) |
| --- | --- | --- |
| 1 | -0.50 | -7.69 |
| 2 | -0.39 | -7.92 |
| 3 | -0.36 | -7.89 |